First-principles (PBE) data for crystalline Y2ScMo at its relaxed geometry, as listed in Alexandria via LeMat-Bulk.

Summary:
E above lowest polymorph   56 kJ/mol of formula units
ρ   5.54 g/cm3
Symmetry   No. 225

abc: 7.2572 7.2572 7.2572
angles: 90.00 90.00 90.00
Last column: nearest neighbours and their distance in Å.
Atoms (fractional coordinates):
Y (0.2500, 0.2500, 0.2500)  4 Mo 3.14, 4 Sc 3.14
Y (0.2500, 0.2500, 0.7500)  4 Sc 3.14, 4 Mo 3.14
Y (0.2500, 0.7500, 0.2500)  4 Sc 3.14, 4 Mo 3.14
Y (0.2500, 0.7500, 0.7500)  4 Mo 3.14, 4 Sc 3.14
Y (0.7500, 0.2500, 0.2500)  4 Sc 3.14, 4 Mo 3.14
Y (0.7500, 0.2500, 0.7500)  4 Mo 3.14, 4 Sc 3.14
Y (0.7500, 0.7500, 0.2500)  4 Mo 3.14, 4 Sc 3.14
Y (0.7500, 0.7500, 0.7500)  4 Sc 3.14, 4 Mo 3.14
Sc (0.0000, 0.0000, 0.0000)  8 Y 3.14
Sc (0.0000, 0.5000, 0.5000)  8 Y 3.14
Sc (0.5000, 0.0000, 0.5000)  8 Y 3.14
Sc (0.5000, 0.5000, 0.0000)  8 Y 3.14
Mo (0.0000, 0.0000, 0.5000)  8 Y 3.14
Mo (0.0000, 0.5000, 0.0000)  8 Y 3.14
Mo (0.5000, 0.0000, 0.0000)  8 Y 3.14
Mo (0.5000, 0.5000, 0.5000)  8 Y 3.14



First-principles (PBE) data for crystalline YScMo at its relaxed geometry, as listed in Alexandria via LeMat-Bulk.

Summary:
E above lowest polymorph   20 kJ/mol of formula units
ρ   5.52 g/cm3
Symmetry   No. 42

abc: 3.7557 5.0221 14.6562
angles: 90.00 90.00 90.00
Last column: nearest neighbours and their distance in Å.
Atoms (fractional coordinates):
Y (0.0000, 0.0000, 0.0000)  2 Mo 2.91, 4 Y 3.14
Y (0.0000, 0.5000, 0.5000)  2 Mo 2.91, 4 Y 3.14
Y (0.5000, 0.0000, 0.5000)  2 Mo 2.91, 4 Y 3.14
Y (0.5000, 0.5000, 0.0000)  2 Mo 2.91, 4 Y 3.14
Sc (0.0000, 0.0000, 0.7135)  2 Mo 2.73
Sc (0.0000, 0.5000, 0.2135)  2 Mo 2.73
Sc (0.5000, 0.0000, 0.2135)  2 Mo 2.73
Sc (0.5000, 0.5000, 0.7135)  2 Mo 2.73
Mo (0.0000, 0.0000, 0.3482)  2 Sc 2.73, 2 Y 2.91
Mo (0.0000, 0.5000, 0.8482)  2 Sc 2.73, 2 Y 2.91
Mo (0.5000, 0.0000, 0.8482)  2 Sc 2.73, 2 Y 2.91
Mo (0.5000, 0.5000, 0.3482)  2 Sc 2.73, 2 Y 2.91



First-principles (PBE) data for crystalline Y2ScMo at its relaxed geometry, as listed in Alexandria via LeMat-Bulk.

Summary:
E above lowest polymorph   59 kJ/mol of formula units
ρ   5.37 g/cm3
Symmetry   No. 12

abc: 11.3791 3.7628 5.1617
angles: 90.00 116.86 90.00
Last column: nearest neighbours and their distance in Å.
Atoms (fractional coordinates):
Y (0.2138, 0.0000, 0.2139)  2 Mo 2.87
Y (0.2862, 0.5000, 0.7861)  2 Mo 2.87
Y (0.7138, 0.5000, 0.2139)  2 Mo 2.87
Y (0.7862, 0.0000, 0.7861)  2 Mo 2.87
Sc (0.0000, 0.0000, 0.5000)  4 Mo 3.19, 8 Y 3.37-3.46
Sc (0.5000, 0.5000, 0.5000)  4 Mo 3.19, 8 Y 3.37-3.46
Mo (0.0000, 0.5000, 0.0000)  4 Y 2.87, 4 Sc 3.19
Mo (0.5000, 0.0000, 0.0000)  4 Y 2.87, 4 Sc 3.19



First-principles (PBE) data for crystalline YScZn2Mo at its relaxed geometry, as listed in Alexandria via LeMat-Bulk.

Summary:
Total energy   -4.85 eV/atom
ρ   5.11 g/cm3
Symmetry   No. 123

abc: 4.9991 4.9991 4.6884
angles: 90.00 90.00 90.00
Last column: nearest neighbours and their distance in Å.
Atoms (fractional coordinates):
Y (0.0000, 0.0000, 0.0000)  8 Zn 3.43, 4 Sc 3.53
Sc (0.5000, 0.5000, 0.0000)  2 Mo 2.34
Zn (0.0000, 0.5000, 0.5000)  2 Mo 2.50
Zn (0.5000, 0.0000, 0.5000)  2 Mo 2.50
Mo (0.5000, 0.5000, 0.5000)  2 Sc 2.34, 4 Zn 2.50